DFT (PBE with a Hubbard U) results for an optimized crystal structure of ZrVNi2F.

Cell and atoms, written as POSCAR:
```
ZrVNi2F
1.0
4.469 0.000 0.000
0.000 4.469 0.000
0.000 0.000 5.375
Zr V Ni F
1 1 2 1
Direct
0.000 0.000 0.000 Zr
0.000 0.000 0.500 V
0.000 0.500 0.000 Ni
0.500 0.000 0.000 Ni
0.500 0.500 0.500 F
```

## Properties
E_tot: -2.730 eV per atom
Density of states at the Fermi level: 4.28 states/eV per cell
Symmetry: P4/mmm, No. 123
Density: 4.31 g/cm3